Version A
{"formula": "Mg2SnBi", "functional": "PBE", "state": "optimized geometry", "lattice": [[8.143, 0.000, 0.000], [0.000, 8.143, 0.000], [4.072, 4.072, 3.313]], "species": ["Mg", "Sn", "Sn", "Bi", "Mg", "Bi", "Mg", "Mg"], "frac_coords": [[0.875, 0.874, 0.750], [0.500, 0.500, 0.000], [0.250, 0.750, 0.500], [0.750, 0.250, 0.500], [0.375, 0.376, 0.750], [0.000, 0.000, 0.000], [0.126, 0.625, 0.250], [0.624, 0.125, 0.250]], "dos_ef_per_ev_fu": 2.98, "total_magnetization_mub_per_atom": 0.0000, "sg": "I-42d, No. 122"}

=====

Version B
{"formula": "Mg2SnBi", "functional": "PBE", "state": "optimized geometry", "lattice": [[-2.374, 3.510, 1.870], [-4.625, -0.126, 0.212], [-2.015, -1.585, 6.212]], "species": ["Mg", "Sn", "Mg", "Bi"], "frac_coords": [[0.252, 0.252, 0.249], [0.497, 0.497, 0.504], [0.084, 0.084, 0.748], [0.667, 0.667, 0.999]], "dos_ef_per_ev_fu": 1.68, "total_magnetization_mub_per_atom": 0.0000, "sg": "Cm, No. 8"}

=====

Version C
{"formula": "Mg2SnBi", "functional": "PBE", "state": "optimized geometry", "lattice": [[-3.443, -0.128, 4.418], [2.571, -3.766, 1.021], [7.566, 3.497, 4.377]], "species": ["Bi", "Mg", "Sn", "Mg", "Sn", "Mg", "Mg", "Bi"], "frac_coords": [[0.580, 0.168, 0.483], [0.691, 0.568, 0.689], [0.106, 0.754, 0.188], [0.374, 0.146, 0.952], [0.893, 0.316, 0.018], [0.114, 0.407, 0.501], [0.631, 0.788, 0.277], [0.219, 0.721, 0.755]], "dos_ef_per_ev_fu": 0.85, "total_magnetization_mub_per_atom": 0.0000, "sg": "P1, No. 1"}

=====

It is version A that is the least stable of them.

=====

Version A
{"formula": "Mg2SnBi", "functional": "PBE", "state": "optimized geometry", "lattice": [[-1.240, 2.185, -2.095], [-2.871, 1.511, 3.275], [12.083, 6.373, 7.652]], "species": ["Bi", "Mg", "Mg", "Sn", "Sn", "Mg", "Bi", "Mg"], "frac_coords": [[0.116, 0.250, 0.586], [0.762, 0.750, 0.687], [0.851, 0.750, 0.065], [0.530, 0.750, 0.859], [0.470, 0.250, 0.141], [0.149, 0.250, 0.935], [0.884, 0.750, 0.414], [0.238, 0.250, 0.313]], "dos_ef_per_ev_fu": 0.94, "total_magnetization_mub_per_atom": 0.0000, "sg": "P2_1/m, No. 11"}

=====

Version B
{"formula": "Mg2SnBi", "functional": "PBE", "state": "optimized geometry", "lattice": [[4.285, 0.000, 0.000], [0.000, 4.897, 0.000], [0.000, 0.000, 4.897]], "species": ["Mg", "Sn", "Mg", "Bi"], "frac_coords": [[0.000, 0.000, 0.500], [0.500, 0.000, 0.000], [0.000, 0.500, 0.000], [0.500, 0.500, 0.500]], "dos_ef_per_ev_fu": 2.25, "total_magnetization_mub_per_atom": 0.0000, "sg": "P4/mmm, No. 123"}

=====

It is version A that is the least stable of them.

=====

Version A
{"formula": "Mg2SnBi", "functional": "PBE", "state": "optimized geometry", "lattice": [[-0.159, -4.432, -2.823], [-1.146, -4.566, 2.339], [-4.606, -2.353, -0.942]], "species": ["Sn", "Mg", "Bi", "Mg"], "frac_coords": [[0.000, 0.000, 0.000], [0.250, 0.250, 0.250], [0.500, 0.500, 0.500], [0.750, 0.750, 0.750]], "dos_ef_per_ev_fu": 2.56, "total_magnetization_mub_per_atom": 0.0000, "sg": "Fm-3m, No. 225"}

=====

Version B
{"formula": "Mg2SnBi", "functional": "PBE", "state": "optimized geometry", "lattice": [[-1.035, -3.438, 1.548], [1.565, 1.069, 3.420], [-5.894, 2.620, 1.878]], "species": ["Bi", "Sn", "Mg", "Mg"], "frac_coords": [[0.500, 0.500, 0.500], [0.500, 0.500, 0.000], [0.000, 0.000, 0.760], [0.000, 0.000, 0.240]], "dos_ef_per_ev_fu": 2.55, "total_magnetization_mub_per_atom": 0.0000, "sg": "P4/mmm, No. 123"}

=====

It is version A that is the least stable of them.

=====

Version A
{"formula": "Mg2SnBi2", "functional": "PBE", "state": "optimized geometry", "lattice": [[8.560, 0.000, 0.000], [0.000, 8.560, 0.000], [0.000, 0.000, 3.750]], "species": ["Sn", "Bi", "Bi", "Mg", "Mg", "Bi", "Mg", "Bi", "Sn", "Mg"], "frac_coords": [[0.500, 0.500, 0.000], [0.828, 0.328, 0.500], [0.672, 0.828, 0.500], [0.629, 0.129, 0.000], [0.871, 0.629, 0.000], [0.172, 0.672, 0.500], [0.371, 0.871, 0.000], [0.328, 0.172, 0.500], [0.000, 0.000, 0.000], [0.129, 0.371, 0.000]], "dos_ef_per_ev_fu": 2.94, "total_magnetization_mub_per_atom": 0.0000, "sg": "P4/mbm, No. 127"}

=====

Version B
{"formula": "Mg2SnBi2", "functional": "PBE", "state": "optimized geometry", "lattice": [[4.495, 0.000, 0.000], [0.000, 4.495, 0.000], [2.247, 2.247, 7.432]], "species": ["Mg", "Bi", "Bi", "Sn", "Mg"], "frac_coords": [[0.250, 0.750, 0.500], [0.614, 0.614, 0.772], [0.386, 0.386, 0.228], [0.000, 0.000, 0.000], [0.750, 0.250, 0.500]], "dos_ef_per_ev_fu": 2.26, "total_magnetization_mub_per_atom": 0.0000, "sg": "I4/mmm, No. 139"}

=====

Version C
{"formula": "Mg2SnBi2", "functional": "PBE", "state": "optimized geometry", "lattice": [[-3.802, 6.383, 5.047], [-0.086, -5.602, 7.020], [3.178, 1.142, 0.950]], "species": ["Bi", "Bi", "Mg", "Bi", "Sn", "Mg", "Mg", "Sn", "Bi", "Mg"], "frac_coords": [[0.165, 0.335, 0.000], [0.665, 0.165, 0.000], [0.365, 0.135, 0.500], [0.835, 0.665, 0.000], [0.000, 0.000, 0.000], [0.865, 0.365, 0.500], [0.635, 0.865, 0.500], [0.500, 0.500, 0.000], [0.335, 0.835, 0.000], [0.135, 0.635, 0.500]], "dos_ef_per_ev_fu": 2.47, "total_magnetization_mub_per_atom": 0.0000, "sg": "P4/mbm, No. 127"}

=====

It is version B that is the least stable of them.

=====

Version A
{"formula": "Mg6SnBi2", "functional": "PBE", "state": "optimized geometry", "lattice": [[7.815, 0.000, 0.722], [0.000, 6.307, 0.000], [-0.035, 0.000, 9.631]], "species": ["Bi", "Bi", "Mg", "Bi", "Mg", "Mg", "Mg", "Sn", "Mg", "Mg", "Mg", "Sn", "Mg", "Mg", "Mg", "Mg", "Bi", "Mg"], "frac_coords": [[0.979, 0.580, 0.277], [0.479, 0.920, 0.777], [0.413, 0.422, 0.715], [0.021, 0.420, 0.723], [0.087, 0.922, 0.785], [0.659, 0.188, 0.507], [0.841, 0.688, 0.993], [0.500, 0.500, 0.000], [0.913, 0.078, 0.215], [0.159, 0.312, 0.007], [0.587, 0.578, 0.285], [0.000, 0.000, 0.500], [0.745, 0.668, 0.584], [0.255, 0.332, 0.416], [0.755, 0.168, 0.916], [0.341, 0.812, 0.493], [0.521, 0.080, 0.223], [0.245, 0.832, 0.084]], "dos_ef_per_ev_fu": 2.78, "total_magnetization_mub_per_atom": 0.0000, "sg": "P2_1/c, No. 14"}

=====

Version B
{"formula": "Mg6SnBi2", "functional": "PBE", "state": "optimized geometry", "lattice": [[-3.354, -2.805, -2.082], [4.574, -1.892, -4.821], [1.614, -3.595, 7.894]], "species": ["Mg", "Mg", "Mg", "Mg", "Mg", "Mg", "Bi", "Bi", "Sn"], "frac_coords": [[0.159, 0.927, 0.320], [0.841, 0.607, 0.680], [0.500, 0.751, 0.000], [0.500, 0.249, 0.000], [0.841, 0.073, 0.680], [0.159, 0.393, 0.320], [0.668, 0.669, 0.337], [0.332, 0.331, 0.663], [0.000, 0.000, 0.000]], "dos_ef_per_ev_fu": 4.03, "total_magnetization_mub_per_atom": 0.0000, "sg": "C2/m, No. 12"}

=====

It is version A that is the least stable of them.

=====

Version A
{"formula": "MgSn3Bi", "functional": "PBE", "state": "optimized geometry", "lattice": [[5.410, 0.000, 0.000], [0.000, 5.410, 0.000], [0.000, 0.000, 5.410]], "species": ["Sn", "Mg", "Bi", "Sn", "Sn"], "frac_coords": [[0.500, 0.000, 0.000], [0.000, 0.000, 0.000], [0.500, 0.500, 0.500], [0.000, 0.000, 0.500], [0.000, 0.500, 0.000]], "dos_ef_per_ev_fu": 3.22, "total_magnetization_mub_per_atom": 0.0000, "sg": "Pm-3m, No. 221"}

=====

Version B
{"formula": "MgSn3Bi", "functional": "PBE", "state": "optimized geometry", "lattice": [[5.906, 0.000, 0.000], [0.000, 5.906, 0.000], [0.000, 0.000, 5.906]], "species": ["Sn", "Sn", "Mg", "Bi", "Sn"], "frac_coords": [[0.000, 0.000, 0.500], [0.000, 0.500, 0.000], [0.500, 0.500, 0.500], [0.000, 0.000, 0.000], [0.500, 0.000, 0.000]], "dos_ef_per_ev_fu": 3.79, "total_magnetization_mub_per_atom": 0.0000, "sg": "Pm-3m, No. 221"}

=====

It is version B that is the least stable of them.

=====

Version A
{"formula": "Mg4SnBi", "functional": "PBE", "state": "optimized geometry", "lattice": [[-2.930, 1.621, -7.160], [2.261, -7.545, -1.006], [-4.339, 1.355, 5.632]], "species": ["Mg", "Bi", "Sn", "Mg", "Mg", "Sn", "Mg", "Mg", "Bi", "Mg", "Mg", "Mg"], "frac_coords": [[0.279, 0.543, 0.729], [0.628, 0.378, 0.756], [0.879, 0.129, 0.258], [0.764, 0.765, 0.767], [0.950, 0.185, 0.729], [0.121, 0.871, 0.742], [0.497, 0.999, 0.233], [0.503, 0.001, 0.767], [0.372, 0.622, 0.244], [0.721, 0.457, 0.271], [0.050, 0.815, 0.271], [0.236, 0.235, 0.233]], "dos_ef_per_ev_fu": 1.44, "total_magnetization_mub_per_atom": 0.0000, "sg": "C2/c, No. 15"}

=====

Version B
{"formula": "Mg4SnBi", "functional": "PBE", "state": "optimized geometry", "lattice": [[5.955, 0.000, 0.000], [2.977, 5.157, 0.000], [2.977, 1.719, 4.862]], "species": ["Mg", "Mg", "Mg", "Mg", "Bi", "Sn"], "frac_coords": [[0.125, 0.625, 0.625], [0.625, 0.125, 0.625], [0.625, 0.625, 0.125], [0.625, 0.625, 0.625], [0.000, 0.000, 0.000], [0.250, 0.250, 0.250]], "dos_ef_per_ev_fu": 2.21, "total_magnetization_mub_per_atom": 0.0000, "sg": "F-43m, No. 216"}

=====

It is version B that is the least stable of them.

=====

Version A
{"formula": "MgSn2Bi2", "functional": "PBE", "state": "optimized geometry", "lattice": [[4.194, 0.000, 0.000], [0.000, 4.194, 0.000], [2.097, 2.097, 8.747]], "species": ["Bi", "Bi", "Mg", "Sn", "Sn"], "frac_coords": [[0.591, 0.591, 0.818], [0.409, 0.409, 0.182], [0.000, 0.000, 0.000], [0.250, 0.750, 0.500], [0.750, 0.250, 0.500]], "dos_ef_per_ev_fu": 3.18, "total_magnetization_mub_per_atom": 0.0000, "sg": "I4/mmm, No. 139"}

=====

Version B
{"formula": "MgSn2Bi2", "functional": "PBE", "state": "optimized geometry", "lattice": [[-6.225, 5.950, -0.399], [-1.168, -0.651, 8.516], [2.760, 2.928, 0.602]], "species": ["Bi", "Sn", "Mg", "Sn", "Bi", "Sn", "Bi", "Bi", "Mg", "Sn"], "frac_coords": [[0.656, 0.844, 0.500], [0.641, 0.141, 0.000], [0.000, 0.000, 0.000], [0.859, 0.641, 0.000], [0.156, 0.656, 0.500], [0.141, 0.359, 0.000], [0.844, 0.344, 0.500], [0.344, 0.156, 0.500], [0.500, 0.500, 0.000], [0.359, 0.859, 0.000]], "dos_ef_per_ev_fu": 2.87, "total_magnetization_mub_per_atom": 0.0000, "sg": "P4/mbm, No. 127"}

=====

Version C
{"formula": "MgSn2Bi2", "functional": "PBE", "state": "optimized geometry", "lattice": [[-1.866, -7.968, -2.898], [-0.398, -2.882, 8.179], [-3.973, 0.887, 0.119]], "species": ["Mg", "Bi", "Sn", "Bi", "Bi", "Mg", "Bi", "Sn", "Sn", "Sn"], "frac_coords": [[0.000, 0.000, 0.000], [0.341, 0.841, 0.000], [0.859, 0.359, 0.500], [0.159, 0.341, 0.000], [0.841, 0.659, 0.000], [0.500, 0.500, 0.000], [0.659, 0.159, 0.000], [0.141, 0.641, 0.500], [0.641, 0.859, 0.500], [0.359, 0.141, 0.500]], "dos_ef_per_ev_fu": 2.87, "total_magnetization_mub_per_atom": 0.0000, "sg": "P4/mbm, No. 127"}

=====

It is version B that is the least stable of them.

=====

Version A
{"formula": "SrMg3Bi3", "functional": "PBE", "state": "optimized geometry", "lattice": [[8.303, 0.000, 0.000], [4.151, 7.190, 0.000], [4.151, 2.397, 7.998]], "species": ["Mg", "Mg", "Mg", "Sr", "Mg", "Mg", "Mg", "Sr", "Bi", "Bi", "Bi", "Bi", "Bi", "Bi"], "frac_coords": [[0.124, 0.473, 0.621], [0.876, 0.527, 0.379], [0.473, 0.782, 0.621], [0.666, 0.666, 0.001], [0.218, 0.876, 0.379], [0.527, 0.218, 0.379], [0.782, 0.124, 0.621], [0.334, 0.334, 0.999], [0.237, 0.600, 0.244], [0.918, 0.237, 0.244], [0.600, 0.918, 0.244], [0.400, 0.082, 0.756], [0.763, 0.400, 0.756], [0.082, 0.763, 0.756]], "dos_ef_per_ev_fu": 4.49, "total_magnetization_mub_per_atom": 0.0000, "sg": "R-3, No. 148"}

=====

Version B
{"formula": "SrMg3Bi3", "functional": "PBE", "state": "optimized geometry", "lattice": [[8.070, 0.000, 0.000], [0.000, 8.070, 0.000], [0.000, 0.000, 8.070]], "species": ["Mg", "Bi", "Mg", "Bi", "Mg", "Mg", "Sr", "Bi", "Mg", "Sr", "Mg", "Bi", "Bi", "Bi"], "frac_coords": [[0.000, 0.750, 0.500], [0.000, 0.500, 0.750], [0.000, 0.250, 0.500], [0.500, 0.750, 0.000], [0.250, 0.500, 0.000], [0.500, 0.000, 0.750], [0.500, 0.500, 0.500], [0.250, 0.000, 0.500], [0.750, 0.500, 0.000], [0.000, 0.000, 0.000], [0.500, 0.000, 0.250], [0.750, 0.000, 0.500], [0.500, 0.250, 0.000], [0.000, 0.500, 0.250]], "dos_ef_per_ev_fu": 5.11, "total_magnetization_mub_per_atom": 0.0000, "sg": "Pm-3n, No. 223"}

=====

Version C
{"formula": "SrMg3Bi3", "functional": "PBE", "state": "optimized geometry", "lattice": [[-2.955, 3.497, 0.486], [0.613, 2.130, -11.596], [-8.121, -7.450, 4.219]], "species": ["Mg", "Mg", "Mg", "Mg", "Bi", "Bi", "Bi", "Sr", "Bi", "Sr", "Mg", "Bi", "Mg", "Bi"], "frac_coords": [[0.750, 0.421, 0.053], [0.750, 0.633, 0.580], [0.250, 0.579, 0.947], [0.250, 0.053, 0.632], [0.250, 0.584, 0.700], [0.250, 0.116, 0.415], [0.750, 0.884, 0.585], [0.250, 0.667, 0.334], [0.250, 0.300, 0.884], [0.750, 0.333, 0.666], [0.750, 0.947, 0.368], [0.750, 0.416, 0.300], [0.250, 0.367, 0.420], [0.750, 0.700, 0.116]], "dos_ef_per_ev_fu": 5.57, "total_magnetization_mub_per_atom": 0.0000, "sg": "P2_1/m, No. 11"}

=====

It is version B that is the least stable of them.

=====

Version A
{"formula": "SrMgBi", "functional": "PBE", "state": "optimized geometry", "lattice": [[-4.634, -2.478, 2.284], [0.961, -3.643, -2.002], [6.562, 0.540, 6.713]], "species": ["Bi", "Sr", "Sr", "Bi", "Mg", "Mg"], "frac_coords": [[0.147, 0.647, 0.295], [0.658, 0.158, 0.317], [0.342, 0.842, 0.683], [0.853, 0.353, 0.705], [0.257, 0.500, 0.000], [0.743, 0.500, 0.000]], "dos_ef_per_ev_fu": 1.11, "total_magnetization_mub_per_atom": 0.0000, "sg": "Immm, No. 71"}

=====

Version B
{"formula": "SrMgBi", "functional": "PBE", "state": "optimized geometry", "lattice": [[4.767, 0.000, 0.000], [0.000, 4.958, 0.000], [0.000, -2.479, 4.293]], "species": ["Mg", "Bi", "Sr"], "frac_coords": [[0.180, 0.667, 0.333], [0.154, 0.000, 0.000], [0.666, 0.333, 0.667]], "dos_ef_per_ev_fu": 1.40, "total_magnetization_mub_per_atom": 0.0000, "sg": "P3m1, No. 156"}

=====

It is version A that is the least stable of them.